# NdSm7Y4 GGA-PBE relaxed
data_NdSm7Y4
_cell_length_a 6.317
_cell_length_b 7.290
_cell_length_c 8.989
_cell_angle_alpha 89.97
_cell_angle_beta 76.34
_cell_angle_gamma 89.99
_symmetry_space_group_name_H-M 'P -1'
_symmetry_Int_Tables_number 2
loop_
_symmetry_equiv_pos_as_xyz
'x,y,z'
'-x,-y,-z'
loop_
_atom_site_label
_atom_site_fract_x
_atom_site_fract_y
_atom_site_fract_z
Nd1 0.000 0.000 0.000
Sm1 0.000 0.500 0.000
Sm2 0.222 0.000 0.334
Sm3 0.278 0.750 0.665
Sm4 0.499 0.748 0.000
Y1 0.220 0.500 0.334
Y2 0.280 0.252 0.666
# ΔE_f ... 0 meV per atom
# Distance to the lowest polymorph of the same formula ... 0.000 eV/atom
# Total energy ... -0.195 hartree per atom